[1]
Computed, not measured: an optimized crystal structure of V2Co2Pt at the PBE level of DFT.

Calculated values
Its space-group type is P4/mbm (127). Its energy above the most stable polymorph in this dataset is 0.2715 eV per atom. The calculation puts the final energy at -77.398 eV per cell.

CIF file:
```
data_V2Co2Pt
_space_group_name_H-M_alt 'P 1'
_space_group_IT_number 1
_cell_length_a 6.967
_cell_length_b 6.967
_cell_length_c 2.667
_cell_angle_alpha 90.00
_cell_angle_beta 90.00
_cell_angle_gamma 90.00
loop_
_space_group_symop_operation_xyz
'x,y,z'
loop_
_atom_site_label
_atom_site_type_symbol
_atom_site_fract_x
_atom_site_fract_y
_atom_site_fract_z
_atom_site_occupancy
V1 V 0.152 0.348 0.000 1
V2 V 0.348 0.848 0.000 1
V3 V 0.652 0.152 0.000 1
V4 V 0.848 0.652 0.000 1
Co1 Co 0.138 0.638 0.500 1
Co2 Co 0.362 0.138 0.500 1
Co3 Co 0.638 0.862 0.500 1
Co4 Co 0.862 0.362 0.500 1
Pt1 Pt 0.000 0.000 0.000 1
Pt2 Pt 0.500 0.500 0.000 1
```

***

[2]
Computed, not measured: an optimized crystal structure of V2Co5Pt2 at the PBE level of DFT.

Calculated values
Its space-group type is P-1 (2). The calculation puts the final energy at -66.882 eV per cell.

CIF file:
```
data_V2Co5Pt2
_space_group_name_H-M_alt 'P 1'
_space_group_IT_number 1
_cell_length_a 2.651
_cell_length_b 5.687
_cell_length_c 7.835
_cell_angle_alpha 76.41
_cell_angle_beta 89.96
_cell_angle_gamma 76.53
loop_
_space_group_symop_operation_xyz
'x,y,z'
loop_
_atom_site_label
_atom_site_type_symbol
_atom_site_fract_x
_atom_site_fract_y
_atom_site_fract_z
_atom_site_occupancy
V1 V 0.010 0.482 0.177 1
V2 V 0.990 0.518 0.823 1
Co1 Co 0.000 0.500 0.500 1
Co2 Co 0.341 0.818 0.610 1
Co3 Co 0.344 0.807 0.944 1
Co4 Co 0.656 0.193 0.056 1
Co5 Co 0.659 0.182 0.390 1
Pt1 Pt 0.331 0.841 0.273 1
Pt2 Pt 0.669 0.159 0.727 1
```

***

[3]
Computed, not measured: an optimized crystal structure of VCo5Pt6 at the PBE level of DFT.

Calculated values
Its space-group type is Immm (71). The calculation puts the final energy at -83.370 eV per cell.

CIF file:
```
data_VCo5Pt6
_space_group_name_H-M_alt 'P 1'
_space_group_IT_number 1
_cell_length_a 7.104
_cell_length_b 7.104
_cell_length_c 7.104
_cell_angle_alpha 148.85
_cell_angle_beta 116.41
_cell_angle_gamma 72.51
loop_
_space_group_symop_operation_xyz
'x,y,z'
loop_
_atom_site_label
_atom_site_type_symbol
_atom_site_fract_x
_atom_site_fract_y
_atom_site_fract_z
_atom_site_occupancy
V1 V 0.000 0.000 0.000 1
Co1 Co 0.165 0.665 0.500 1
Co2 Co 0.334 0.334 0.000 1
Co3 Co 0.500 0.000 0.500 1
Co4 Co 0.666 0.666 0.000 1
Co5 Co 0.835 0.335 0.500 1
Pt1 Pt 0.083 0.833 0.249 1
Pt2 Pt 0.249 0.500 0.749 1
Pt3 Pt 0.416 0.167 0.249 1
Pt4 Pt 0.584 0.833 0.751 1
Pt5 Pt 0.751 0.500 0.251 1
Pt6 Pt 0.917 0.167 0.751 1
```

***

[4]
Computed, not measured: an optimized crystal structure of V2CoPt8 at the PBE level of DFT.

Calculated values
Its space-group type is C2/m (12). The calculation puts the final energy at -77.339 eV per cell.

CIF file:
```
data_V2CoPt8
_space_group_name_H-M_alt 'P 1'
_space_group_IT_number 1
_cell_length_a 7.268
_cell_length_b 7.268
_cell_length_c 6.226
_cell_angle_alpha 105.63
_cell_angle_beta 105.63
_cell_angle_gamma 31.16
loop_
_space_group_symop_operation_xyz
'x,y,z'
loop_
_atom_site_label
_atom_site_type_symbol
_atom_site_fract_x
_atom_site_fract_y
_atom_site_fract_z
_atom_site_occupancy
V1 V 0.223 0.223 0.152 1
V2 V 0.777 0.777 0.848 1
Co1 Co 0.500 0.500 0.500 1
Pt1 Pt 0.045 0.045 0.232 1
Pt2 Pt 0.144 0.144 0.700 1
Pt3 Pt 0.319 0.319 0.587 1
Pt4 Pt 0.400 0.400 0.045 1
Pt5 Pt 0.600 0.600 0.955 1
Pt6 Pt 0.681 0.681 0.413 1
Pt7 Pt 0.856 0.856 0.300 1
Pt8 Pt 0.955 0.955 0.768 1
```

***

[5]
Computed, not measured: an optimized crystal structure of VCoPt3 at the PBE level of DFT.

Calculated values
Its space-group type is C2/m (12). Its energy above the most stable polymorph in this dataset is 0.1878 eV per atom. The calculation puts the final energy at -70.295 eV per cell.

CIF file:
```
data_VCoPt3
_space_group_name_H-M_alt 'P 1'
_space_group_IT_number 1
_cell_length_a 5.373
_cell_length_b 5.373
_cell_length_c 7.452
_cell_angle_alpha 114.53
_cell_angle_beta 114.53
_cell_angle_gamma 50.75
loop_
_space_group_symop_operation_xyz
'x,y,z'
loop_
_atom_site_label
_atom_site_type_symbol
_atom_site_fract_x
_atom_site_fract_y
_atom_site_fract_z
_atom_site_occupancy
V1 V 0.055 0.055 0.326 1
V2 V 0.945 0.945 0.674 1
Co1 Co 0.453 0.453 0.121 1
Co2 Co 0.547 0.547 0.879 1
Pt1 Pt 0.155 0.155 0.058 1
Pt2 Pt 0.218 0.218 0.735 1
Pt3 Pt 0.361 0.361 0.495 1
Pt4 Pt 0.639 0.639 0.505 1
Pt5 Pt 0.782 0.782 0.265 1
Pt6 Pt 0.845 0.845 0.942 1
```

***

[6]
Computed, not measured: an optimized crystal structure of V3CoPt at the PBE level of DFT.

Calculated values
Its space-group type is Pm-3m (221). Its energy above the most stable polymorph in this dataset is 0.6212 eV per atom. The calculation puts the final energy at -37.875 eV per cell.

CIF file:
```
data_V3CoPt
_space_group_name_H-M_alt 'P 1'
_space_group_IT_number 1
_cell_length_a 4.252
_cell_length_b 4.252
_cell_length_c 4.252
_cell_angle_alpha 90.00
_cell_angle_beta 90.00
_cell_angle_gamma 90.00
loop_
_space_group_symop_operation_xyz
'x,y,z'
loop_
_atom_site_label
_atom_site_type_symbol
_atom_site_fract_x
_atom_site_fract_y
_atom_site_fract_z
_atom_site_occupancy
V1 V 0.000 0.000 0.500 1
V2 V 0.000 0.500 0.000 1
V3 V 0.500 0.000 0.000 1
Co1 Co 0.000 0.000 0.000 1
Pt1 Pt 0.500 0.500 0.500 1
```

***

[7]
Computed, not measured: an optimized crystal structure of VCoPt at the PBE level of DFT.

Calculated values
Its space-group type is Cmcm (63). Its energy above the most stable polymorph in this dataset is 0.0000 eV per atom. The calculation puts the final energy at -46.641 eV per cell.

CIF file:
```
data_VCoPt
_space_group_name_H-M_alt 'P 1'
_space_group_IT_number 1
_cell_length_a 5.882
_cell_length_b 5.882
_cell_length_c 3.803
_cell_angle_alpha 90.00
_cell_angle_beta 90.00
_cell_angle_gamma 143.45
loop_
_space_group_symop_operation_xyz
'x,y,z'
loop_
_atom_site_label
_atom_site_type_symbol
_atom_site_fract_x
_atom_site_fract_y
_atom_site_fract_z
_atom_site_occupancy
V1 V 0.104 0.896 0.750 1
V2 V 0.896 0.104 0.250 1
Co1 Co 0.252 0.748 0.250 1
Co2 Co 0.748 0.252 0.750 1
Pt1 Pt 0.415 0.585 0.750 1
Pt2 Pt 0.585 0.415 0.250 1
```

***

[8]
Computed, not measured: an optimized crystal structure of VCoPt3 at the PBE level of DFT.

Calculated values
Its space-group type is Pm-3m (221). Its energy above the most stable polymorph in this dataset is 1.3946 eV per atom. The calculation puts the final energy at -29.113 eV per cell.

CIF file:
```
data_VCoPt3
_space_group_name_H-M_alt 'P 1'
_space_group_IT_number 1
_cell_length_a 4.603
_cell_length_b 4.603
_cell_length_c 4.603
_cell_angle_alpha 90.00
_cell_angle_beta 90.00
_cell_angle_gamma 90.00
loop_
_space_group_symop_operation_xyz
'x,y,z'
loop_
_atom_site_label
_atom_site_type_symbol
_atom_site_fract_x
_atom_site_fract_y
_atom_site_fract_z
_atom_site_occupancy
V1 V 0.000 0.000 0.000 1
Co1 Co 0.500 0.500 0.500 1
Pt1 Pt 0.000 0.000 0.500 1
Pt2 Pt 0.000 0.500 0.000 1
Pt3 Pt 0.500 0.000 0.000 1
```

***

[9]
Computed, not measured: an optimized crystal structure of V2Co4Pt at the PBE level of DFT.

Calculated values
Its space-group type is I4/mmm (139). Its energy above the most stable polymorph in this dataset is 1.1267 eV per atom. The calculation puts the final energy at -44.571 eV per cell.

CIF file:
```
data_V2Co4Pt
_space_group_name_H-M_alt 'P 1'
_space_group_IT_number 1
_cell_length_a 6.656
_cell_length_b 6.656
_cell_length_c 6.656
_cell_angle_alpha 140.51
_cell_angle_beta 140.51
_cell_angle_gamma 57.08
loop_
_space_group_symop_operation_xyz
'x,y,z'
loop_
_atom_site_label
_atom_site_type_symbol
_atom_site_fract_x
_atom_site_fract_y
_atom_site_fract_z
_atom_site_occupancy
V1 V 0.113 0.113 0.000 1
V2 V 0.887 0.887 0.000 1
Co1 Co 0.000 0.500 0.500 1
Co2 Co 0.286 0.286 0.000 1
Co3 Co 0.500 0.000 0.500 1
Co4 Co 0.714 0.714 0.000 1
Pt1 Pt 0.500 0.500 0.000 1
```

***

[10]
Computed, not measured: an optimized crystal structure of V2Co4Pt at the PBE level of DFT.

Calculated values
Its space-group type is I4/mmm (139). Its energy above the most stable polymorph in this dataset is 0.0000 eV per atom. The calculation puts the final energy at -52.458 eV per cell.

CIF file:
```
data_V2Co4Pt
_space_group_name_H-M_alt 'P 1'
_space_group_IT_number 1
_cell_length_a 8.711
_cell_length_b 8.711
_cell_length_c 8.711
_cell_angle_alpha 158.55
_cell_angle_beta 158.55
_cell_angle_gamma 30.51
loop_
_space_group_symop_operation_xyz
'x,y,z'
loop_
_atom_site_label
_atom_site_type_symbol
_atom_site_fract_x
_atom_site_fract_y
_atom_site_fract_z
_atom_site_occupancy
V1 V 0.096 0.096 0.000 1
V2 V 0.904 0.904 0.000 1
Co1 Co 0.250 0.750 0.500 1
Co2 Co 0.353 0.353 0.000 1
Co3 Co 0.647 0.647 0.000 1
Co4 Co 0.750 0.250 0.500 1
Pt1 Pt 0.500 0.500 0.000 1
```

***

[11]
Computed, not measured: an optimized crystal structure of V6CoPt2 at the PBE level of DFT.

Calculated values
Its space-group type is C2/m (12). The calculation puts the final energy at -71.763 eV per cell.

CIF file:
```
data_V6CoPt2
_space_group_name_H-M_alt 'P 1'
_space_group_IT_number 1
_cell_length_a 7.112
_cell_length_b 7.112
_cell_length_c 3.982
_cell_angle_alpha 106.12
_cell_angle_beta 106.12
_cell_angle_gamma 48.64
loop_
_space_group_symop_operation_xyz
'x,y,z'
loop_
_atom_site_label
_atom_site_type_symbol
_atom_site_fract_x
_atom_site_fract_y
_atom_site_fract_z
_atom_site_occupancy
V1 V 0.107 0.605 0.355 1
V2 V 0.242 0.758 0.000 1
V3 V 0.395 0.893 0.645 1
V4 V 0.605 0.107 0.355 1
V5 V 0.758 0.242 0.000 1
V6 V 0.893 0.395 0.645 1
Co1 Co 0.500 0.500 0.500 1
Pt1 Pt 0.192 0.192 0.192 1
Pt2 Pt 0.808 0.808 0.808 1
```

***

[12]
Computed, not measured: an optimized crystal structure of VCo2Pt2 at the PBE level of DFT.

Calculated values
Its space-group type is P4/mbm (127). Its energy above the most stable polymorph in this dataset is 0.2457 eV per atom. The calculation puts the final energy at -71.354 eV per cell.

CIF file:
```
data_VCo2Pt2
_space_group_name_H-M_alt 'P 1'
_space_group_IT_number 1
_cell_length_a 6.086
_cell_length_b 6.086
_cell_length_c 3.683
_cell_angle_alpha 90.00
_cell_angle_beta 90.00
_cell_angle_gamma 90.00
loop_
_space_group_symop_operation_xyz
'x,y,z'
loop_
_atom_site_label
_atom_site_type_symbol
_atom_site_fract_x
_atom_site_fract_y
_atom_site_fract_z
_atom_site_occupancy
V1 V 0.000 0.000 0.000 1
V2 V 0.500 0.500 0.000 1
Co1 Co 0.133 0.367 0.000 1
Co2 Co 0.367 0.867 0.000 1
Co3 Co 0.633 0.133 0.000 1
Co4 Co 0.867 0.633 0.000 1
Pt1 Pt 0.166 0.666 0.500 1
Pt2 Pt 0.334 0.166 0.500 1
Pt3 Pt 0.666 0.834 0.500 1
Pt4 Pt 0.834 0.334 0.500 1
```